Below is a relaxed HfBeTe2 crystal, with properties calculated at the PBE level.

a = 7.0440 Å, b = 7.0440 Å, c = 7.0440 Å
α = 126.41°, β = 126.41°, γ = 79.22°
Positions (direct):
Hf1 0.0000 0.0000 0.0000
Hf2 0.7500 0.2500 0.5000
Be1 0.2500 0.7500 0.5000
Be2 0.5000 0.5000 0.0000
Te1 0.1800 0.6250 0.0550
Te2 0.3750 0.4300 0.5550
Te3 0.5700 0.1250 0.9450
Te4 0.8750 0.8200 0.4450

Values from the calculation:
- formation energy without anion corrections (eV per atom) = -0.008
- energy (eV per atom) = -5.00
- space-group type = I-42d
- DOS(E_F) (states/eV/atom) = 0.7150